# 1
VASP calculation (GGA-PBE) on TlC3O after structural relaxation.

Structure (extended XYZ):
```
5
Lattice="4.5275 0.0000 0.0000 0.0000 4.5275 0.0000 0.0000 0.0000 4.5275" Properties=species:S:1:pos:R:3 pbc="T T T"
Tl 0.0000 0.0000 0.0000
C 0.0000 0.0000 2.2637
C 0.0000 2.2637 0.0000
C 2.2637 0.0000 0.0000
O 2.2637 2.2637 2.2637
```

Calculated values
The raw formation energy is 20.34 eV per formula unit. The relative energy among the computed polymorphs is 1.025 eV/atom.

# 2
VASP calculation (GGA-PBE) on LiTb5Cd4 after structural relaxation.

Structure (extended XYZ):
```
10
Lattice="3.7593 0.0000 0.0000 0.0000 3.7593 0.0000 0.0000 0.0000 18.6936" Properties=species:S:1:pos:R:3 pbc="T T T"
Li 0.0000 0.0000 0.0000
Tb 1.8796 1.8796 1.8748
Tb 1.8796 1.8796 5.5953
Tb 1.8796 1.8796 9.3468
Tb 1.8796 1.8796 13.0983
Tb 1.8796 1.8796 16.8188
Cd 0.0000 0.0000 3.6973
Cd 0.0000 0.0000 7.4609
Cd 0.0000 0.0000 11.2327
Cd 0.0000 0.0000 14.9962
```

# 3
VASP calculation (GGA-PBE) on InTe2Cl after structural relaxation.

Structure (extended XYZ):
```
8
Lattice="-3.7499 3.7499 5.3880 3.7499 -3.7499 5.3880 3.7499 3.7499 -5.3880" Properties=species:S:1:pos:R:3 pbc="T T T"
In 0.0000 0.0000 0.0000
In 0.0000 3.7499 2.6940
Te 5.6249 1.6894 -1.3470
Te 1.6894 1.8750 1.3470
Te -1.8750 2.0605 4.0410
Te 2.0605 1.8750 6.7350
Cl 3.7499 0.0000 2.6940
Cl 0.0000 0.0000 5.3880
```

Calculated values
The raw formation energy is 0.12 eV per formula unit. The relative energy among the computed polymorphs is 0.400 eV/atom.

# 4
VASP calculation (GGA-PBE) on Ta2CdOs after structural relaxation.

Structure (extended XYZ):
```
4
Lattice="2.9940 0.0000 0.0000 0.0000 4.0294 0.0000 0.0000 0.0000 5.8015" Properties=species:S:1:pos:R:3 pbc="T T T"
Ta 0.0000 0.0000 1.3181
Ta 0.0000 0.0000 4.4834
Cd 1.4970 2.0147 2.9008
Os 1.4970 2.0147 0.0000
```

# 5
VASP calculation (GGA-PBE) on CePa2BeO8 after structural relaxation.

Structure (extended XYZ):
```
12
Lattice="5.1370 0.0000 0.0000 -2.5685 4.4487 0.0000 0.0000 0.0000 6.0661" Properties=species:S:1:pos:R:3 pbc="T T T"
Ce 0.0000 0.0000 0.0000
Pa 0.0000 2.9658 2.2711
Pa 2.5685 1.4829 3.7950
Be 0.0000 0.0000 3.0331
O 0.0000 1.4404 4.1001
O -1.3211 3.7285 4.1001
O 1.2474 0.7202 1.9660
O 0.0000 2.9658 0.3629
O 2.5685 1.4829 5.7032
O 1.3211 3.7285 4.1001
O 3.8895 0.7202 1.9660
O 2.5685 3.0083 1.9660
```

Calculated values
The raw formation energy is -34.63 eV per formula unit.

# 6
VASP calculation (GGA-PBE) on LaAsPd2 after structural relaxation.

Structure (extended XYZ):
```
8
Lattice="-2.3936 2.3936 8.2850 2.3936 -2.3936 8.2850 2.3936 2.3936 -8.2850" Properties=species:S:1:pos:R:3 pbc="T T T"
La 0.0000 0.0000 0.0000
La 0.0000 2.3936 4.1425
As 2.3936 0.0000 4.1425
As 0.0000 0.0000 8.2850
Pd 1.1968 -0.6630 6.2137
Pd 1.7305 1.1968 2.0712
Pd 1.1968 3.0566 -2.0712
Pd 0.6630 1.1968 10.3562
```

# 7
VASP calculation (GGA-PBE) on CeNd2Y after structural relaxation.

Structure (extended XYZ):
```
4
Lattice="3.5882 0.0000 0.0000 0.0000 3.5882 0.0000 0.0000 0.0000 10.2524" Properties=species:S:1:pos:R:3 pbc="T T T"
Ce 0.0000 0.0000 0.0000
Nd 1.7941 1.7941 2.4863
Nd 1.7941 1.7941 7.7662
Y 0.0000 0.0000 5.1262
```

Calculated values
The relative energy among the computed polymorphs is 0.007 eV/atom.

# 8
VASP calculation (GGA-PBE) on InTePb2 after structural relaxation.

Structure (extended XYZ):
```
4
Lattice="3.6990 -4.0150 0.0000 3.6990 4.0150 0.0000 0.0000 0.0000 4.1362" Properties=species:S:1:pos:R:3 pbc="T T T"
In 0.0000 0.0000 0.0000
Te 3.6990 0.0000 0.0000
Pb 1.8495 2.0075 2.0681
Pb 1.8495 -2.0075 2.0681
```

Calculated values
The raw formation energy is -0.30 eV per formula unit. The relative energy among the computed polymorphs is 0.000 eV/atom.

no.,final energy (eV/atom),total magnetic moment (μB/cell)
1,-2.93,2.7
2,-3.10,0.7
3,-2.69,0.0
4,-8.85,0.0
5,-8.58,0.1
6,-5.71,0.0
7,-5.42,0.5
8,-3.40,0.0